(1)
K2Cd5Sn3: relaxed, PBE.

## Properties
Crystal system: monoclinic
Formation energy in eV/f.u.: -1.383
Space-group type: C2/c (15)
Calculated total energy in eV per atom: -2.02

Cell lengths 6.809, 9.929, 9.929 Å; angles 79.85, 69.96, 69.96 degrees
Fractional positions:
K1 0.124 0.623 0.130
K2 0.624 0.130 0.623
K3 0.876 0.377 0.870
K4 0.376 0.870 0.377
Cd1 0.377 0.266 0.981
Cd2 0.877 0.981 0.266
Cd3 0.623 0.734 0.019
Cd4 0.123 0.019 0.734
Cd5 0.496 0.754 0.754
Cd6 0.504 0.246 0.246
Cd7 0.750 0.500 0.500
Cd8 0.250 0.500 0.500
Cd9 0.004 0.246 0.246
Cd10 0.996 0.754 0.754
Sn1 0.370 0.497 0.763
Sn2 0.870 0.763 0.497
Sn3 0.630 0.503 0.237
Sn4 0.130 0.237 0.503
Sn5 0.250 0.000 0.000
Sn6 0.750 0.000 0.000



(2)
KCdSn2: relaxed, PBE.

## Properties
Crystal system: trigonal
Formation energy in eV/f.u.: -0.247
Space-group type: R-3m (166)
Calculated total energy in eV per atom: -2.57

Cell lengths 4.888, 4.888, 7.197 Å; angles 70.15, 70.15, 60.00 degrees
Fractional positions:
K1 0.500 0.500 0.500
Sn1 0.285 0.285 0.146
Sn2 0.715 0.715 0.854
Cd1 0.000 0.000 0.000



(3)
K3Cd6Sn5: relaxed, PBE.

## Properties
Crystal system: orthorhombic
Formation energy in eV/f.u.: -1.804
Space-group type: Pmmn (59)
Calculated total energy in eV per atom: -2.19

Cell lengths 5.055, 10.906, 14.714 Å; angles 90.00, 90.00, 90.00 degrees
Fractional positions:
K1 0.000 0.246 0.699
K2 0.500 0.754 0.199
K3 0.500 0.754 0.801
K4 0.000 0.251 0.000
K5 0.500 0.749 0.500
K6 0.000 0.246 0.301
Cd1 0.000 0.980 0.846
Cd2 0.500 0.020 0.654
Cd3 0.500 0.391 0.835
Cd4 0.500 0.559 0.000
Cd5 0.000 0.441 0.500
Cd6 0.000 0.609 0.665
Cd7 0.000 0.609 0.335
Cd8 0.500 0.946 0.000
Cd9 0.000 0.980 0.154
Cd10 0.500 0.391 0.165
Cd11 0.000 0.054 0.500
Cd12 0.500 0.020 0.346
Sn1 0.000 0.539 0.865
Sn2 0.000 0.878 0.656
Sn3 0.000 0.764 0.000
Sn4 0.500 0.461 0.635
Sn5 0.500 0.236 0.500
Sn6 0.000 0.539 0.135
Sn7 0.500 0.461 0.365
Sn8 0.000 0.878 0.344
Sn9 0.500 0.122 0.844
Sn10 0.500 0.122 0.156



(4)
KCd2Sn8: relaxed, PBE.

## Properties
Crystal system: tetragonal
Formation energy in eV/f.u.: 1.314
Space-group type: P4/mmm (123)
Calculated total energy in eV per atom: -3.06

Cell lengths 6.227, 6.227, 10.279 Å; angles 90.00, 90.00, 90.00 degrees
Fractional positions:
K1 0.500 0.500 0.500
Cd1 0.500 0.000 0.000
Cd2 0.000 0.500 0.000
Sn1 0.752 0.752 0.206
Sn2 0.752 0.248 0.794
Sn3 0.752 0.752 0.794
Sn4 0.752 0.248 0.206
Sn5 0.248 0.752 0.206
Sn6 0.248 0.752 0.794
Sn7 0.248 0.248 0.206
Sn8 0.248 0.248 0.794



Q: The highest calculated total energy belongs to which entry?
A: K2Cd5Sn3



Q: calculated total energy of number 2 (KCdSn2)?
A: -2.57 eV per atom



Q: What is the formation energy in the fourth record?
A: 1.314 eV/f.u.



What did the second record say?
KCdSn2: relaxed, PBE.

## Properties
Crystal system: trigonal
Formation energy in eV/f.u.: -0.247
Space-group type: R-3m (166)
Calculated total energy in eV per atom: -2.57

Cell lengths 4.888, 4.888, 7.197 Å; angles 70.15, 70.15, 60.00 degrees
Fractional positions:
K1 0.500 0.500 0.500
Sn1 0.285 0.285 0.146
Sn2 0.715 0.715 0.854
Cd1 0.000 0.000 0.000